Here is an optimized crystal structure of Pm7IrPb4 from Alexandria via LeMat-Bulk. Energies are from GGA-PBE.

The structure belongs to space group C2/m (No. 12); the cell edges are 15.211, 5.744 and 9.944 Å and the angles 90.00°, 118.31° and 90.00°. Symmetry generates all atoms from Pm at (0.000, 0.000, 0.000), Pm at (0.050, 0.500, 0.306), Pm at (0.165, 0.000, 0.525), Pm at (0.190, 0.500, 0.032), Ir at (0.000, 0.500, 0.000), Pb at (0.072, 0.000, 0.750) and Pb at (0.248, 0.000, 0.277).

Its total energy is -5.14 eV per atom. The density of states at the Fermi level is 19.288 states/eV per cell. The calculation puts the formation energy from the elements at -0.389 eV/atom.